Compound: Ba2ZrAg
Source: the Alexandria database
Functional: PBE
Structure: optimized geometry

Calculated values
The polymorph energy (0 for the lowest one) comes out at 0.3984 eV per atom. The energy of formation from the pure elements is 0.624 eV/atom. As for the calculated total energy: -50.99 eV per cell.

abc: 9.3083 9.3083 6.8185
angles: 90.00 90.00 90.00
With the nearest neighbours (Å) after each atom.
Space group I-42d (No. 122)
Unique sites:
Ba: 0.2158 0.7500 0.1250 (multiplicity 8)  2 Ag 3.19, 2 Ba 3.47
Zr: 0.0000 0.0000 0.5000 (multiplicity 4)  2 Ag 3.41, 4 Ba 3.62
Ag: 0.0000 0.0000 0.0000 (multiplicity 4)  4 Ba 3.19, 2 Zr 3.41